(1)
AcSm3Cd4: optimized geometry, PBE.

## Properties
Crystal system = tetragonal
Final energy = -3.03 eV/atom
Energy relative to the elements = -28.4 kJ/mol of atoms
Total magnetic moment = 1.0 μB per formula unit

```
AcSm3Cd4
1.0
5.461 0.000 0.000
0.000 5.461 0.000
0.000 0.000 7.841
Ac Sm Cd
1 3 4
direct
0.000 0.000 0.000
0.000 0.000 0.500
0.500 0.500 0.000
0.500 0.500 0.500
0.000 0.500 0.265
0.000 0.500 0.735
0.500 0.000 0.265
0.500 0.000 0.735
```

---

(2)
AcSmCd2: optimized geometry, PBE.

## Properties
Crystal system = cubic
Final energy = -2.94 eV/atom
ΔE to the lowest computed polymorph = 0.0207 eV/atom
Energy relative to the elements = -26.5 kJ/mol of atoms
Total magnetic moment = 0.7 μB per formula unit

```
AcSmCd2
1.0
0.000 3.954 3.954
3.954 0.000 3.954
3.954 3.954 0.000
Ac Sm Cd
1 1 2
direct
0.000 0.000 0.000
0.500 0.500 0.500
0.250 0.250 0.250
0.750 0.750 0.750
```

---

(3)
Ac2Sm2Cd: optimized geometry, PBE.

## Properties
Crystal system = tetragonal
Final energy = -3.80 eV/atom
Energy relative to the elements = -8.4 kJ/mol of atoms
Total magnetic moment = 0.0 μB per formula unit

```
Ac2Sm2Cd
1.0
-1.952 1.952 11.905
1.952 -1.952 11.905
1.952 1.952 -11.905
Ac Sm Cd
2 2 1
direct
0.090 0.090 0.000
0.910 0.910 0.000
0.299 0.299 0.000
0.701 0.701 0.000
0.500 0.500 0.000
```

---

(4)
AcSmCd4: optimized geometry, PBE.

## Properties
Crystal system = orthorhombic
Final energy = -2.09 eV/atom
ΔE to the lowest computed polymorph = 0.3135 eV/atom
Energy relative to the elements = -0.5 kJ/mol of atoms
Total magnetic moment = 0.0 μB per formula unit

```
AcSmCd4
1.0
4.055 0.000 0.000
0.000 4.600 0.000
0.000 0.000 10.272
Ac Sm Cd
1 1 4
direct
0.000 0.000 0.000
0.500 0.500 0.500
0.000 0.500 0.253
0.000 0.500 0.747
0.500 0.000 0.276
0.500 0.000 0.724
```